*A*
The following is a DFT calculation (PBE) of a geometry-optimized SrSbI2N structure.

Calculated values
calculated density: 5.95 g/cm³
density of states at the Fermi level: 3.76 states/eV/cell

Cell lengths 5.151, 5.151, 5.022 Å; angles 90.00, 90.00, 90.00 degrees
Space group P4/mmm (No. 123)
Inequivalent atoms, fractional coordinates:
Sr 0.000 0.000 0.000
Sb 0.500 0.500 0.000
I 0.000 0.500 0.500
N 0.500 0.500 0.500

*B*
The following is a DFT calculation (PBE) of a geometry-optimized SrSbI2N structure.

Calculated values
calculated density: 4.74 g/cm³
density of states at the Fermi level: 1.81 states/eV/cell

Cell lengths 6.394, 6.394, 4.093 Å; angles 90.00, 90.00, 90.00 degrees
Space group P4/mmm (No. 123)
Inequivalent atoms, fractional coordinates:
Sr 0.000 0.000 0.000
Sb 0.500 0.500 0.500
I 0.000 0.500 0.500
N 0.500 0.500 0.000

Stability order, top to bottom: *B*, *A*